(1)
Computed, not measured: PtAu after structural relaxation at the PBE level of DFT.

Lattice parameters (Å, degrees): 3.2338 3.2338 3.2338 90.00 90.00 90.00
With the nearest neighbours (Å) after each atom.
Positions (direct):
Pt  0.5000  0.5000  0.5000  8 Au 2.80
Au  0.0000  0.0000  0.0000  8 Pt 2.80

Computed properties:
Space-group type: Pm-3m
Formation enthalpy at 0 K in eV/atom: 0.12



(2)
Computed, not measured: Sr2YIn after structural relaxation at the PBE level of DFT.

Lattice parameters (Å, degrees): 3.7994 3.7994 10.4544 90.00 90.00 90.00
With the nearest neighbours (Å) after each atom.
Positions (direct):
Sr  0.0000  0.0000  0.5323  4 In 3.52, 4 Sr 3.80
Y  0.5000  0.5000  0.2500  4 Y 3.80, 8 Sr 3.99
In  0.5000  0.5000  0.7500  8 Sr 3.52, 4 In 3.80
Sr  0.0000  0.0000  0.9677  4 In 3.52, 4 Sr 3.80

Computed properties:
Space-group type: P4/mmm
Formation enthalpy at 0 K in eV/atom: -0.07



(3)
Computed, not measured: Ba2AlTcF after structural relaxation at the PBE level of DFT.

Lattice parameters (Å, degrees): 6.4625 3.8818 6.4625 90.00 90.00 90.00
With the nearest neighbours (Å) after each atom.
Positions (direct):
Ba  0.0000  0.0000  0.5000  2 Al 3.23
F  0.0000  0.5000  0.0000  2 Al 1.94
Al  0.0000  0.0000  0.0000  2 F 1.94
Ba  0.5000  0.0000  0.0000  2 Al 3.23
Tc  0.5000  0.5000  0.5000  8 Ba 3.77, 2 Tc 3.88

Computed properties:
Space-group type: P4/mmm
E_form (uncorrected) in meV/atom: 182



(4)
Computed, not measured: PmSmN2 after structural relaxation at the PBE level of DFT.

Lattice parameters (Å, degrees): 3.5347 3.5347 6.2169 90.01 90.00 120.00
With the nearest neighbours (Å) after each atom.
Positions (direct):
Pm  0.0000  0.5000  0.0000  6 N 2.57
Sm  0.0000  0.5000  0.5000  6 N 2.56
N  0.3334  0.1667  0.2515  3 Sm 2.56, 3 Pm 2.57
N  0.6666  0.8333  0.7485  3 Sm 2.56, 3 Pm 2.57

Computed properties:
Space-group type: P-3m1
E_form (uncorrected) in meV/atom: -1115



(5)
Computed, not measured: Sr6ZnCd after structural relaxation at the PBE level of DFT.

Lattice parameters (Å, degrees): 5.7710 5.7710 11.0874 74.92 74.91 90.00
With the nearest neighbours (Å) after each atom.
Positions (direct):
Zn  0.0000  0.0000  0.0000  8 Sr 3.47
Sr  0.0932  0.5932  0.8137  2 Cd 3.47, 2 Zn 3.47, 1 Sr 3.84
Cd  0.5000  0.5000  0.0000  8 Sr 3.47
Sr  0.2506  0.2506  0.4988  12 Sr 4.08-4.34
Sr  0.5931  0.0932  0.8137  2 Zn 3.47, 2 Cd 3.47, 1 Sr 3.84
Sr  0.9068  0.4068  0.1863  2 Cd 3.47, 2 Zn 3.47, 1 Sr 3.84
Sr  0.7494  0.7494  0.5012  12 Sr 4.08-4.34
Sr  0.4069  0.9068  0.1863  2 Zn 3.47, 2 Cd 3.47, 1 Sr 3.84

Computed properties:
Space-group type: I4/mmm
Formation enthalpy at 0 K in eV/atom: -0.13



(6)
Computed, not measured: BaLiHoS3 after structural relaxation at the PBE level of DFT.

Lattice parameters (Å, degrees): 4.0804 8.5464 8.9095 105.45 90.00 90.00
With the nearest neighbours (Å) after each atom.
Positions (direct):
S  0.2500  0.1195  0.8668  1 Li 2.39
S  0.7500  0.8805  0.1332  1 Li 2.39
S  0.2500  0.5482  0.8393  3 Ho 2.77
Li  0.7500  0.9139  0.4080  4 S 2.39-2.43
Ba  0.2500  0.1960  0.2432  7 S 3.22-3.31, 1 Li 3.48
Ba  0.7500  0.8040  0.7568  7 S 3.22-3.31, 1 Li 3.48
Li  0.2500  0.0861  0.5920  4 S 2.39-2.43
S  0.7500  0.2053  0.5265  3 Li 2.42-2.43
Ho  0.7500  0.3288  0.8403  6 S 2.71-2.77
S  0.7500  0.4518  0.1607  3 Ho 2.77
S  0.2500  0.7947  0.4735  3 Li 2.42-2.43
Ho  0.2500  0.6712  0.1597  6 S 2.71-2.77

Computed properties:
Space-group type: P2_1/m
E_form (uncorrected) in meV/atom: -1932



Computed theoretical density, in the same sequence as the records: 19.3, 4.2, 4.3, 8.0, 3.4, 4.5 g/cm³.
Computed V, in the same sequence as the records: 16.91, 37.73, 32.42, 16.82, 42.92, 24.96 A^3/atom.